Computed, not measured: Ce5TcGe2 after structural relaxation at the GGA-PBE level of DFT.

```
Ce5TcGe2
1.0
-4.528 -2.308 -1.592
1.708 -0.628 4.962
-8.099 12.847 4.413
Ce Tc Ge
10 2 4
Cartesian
-7.730 5.382 5.277
-7.125 6.208 2.359
-9.838 8.726 6.425
-1.081 1.185 1.358
-6.329 8.820 5.215
-3.794 3.703 5.424
-1.222 -0.376 4.023
-9.697 10.287 3.761
-4.591 1.091 2.569
-3.190 4.529 2.507
-8.391 8.311 2.913
-2.528 1.600 4.871
-4.806 6.416 4.369
-7.847 11.239 6.026
-6.113 3.495 3.414
-3.073 -1.328 1.757
```

Values from the calculation:
formation energy	-2.53	eV per formula unit
energy	-6.475	eV per atom
magnetization	0.382	μB per atom
SG	Cmcm